[1]
A plane-wave DFT calculation with GGA-PBE was carried out for W3IBr after structural relaxation.

a = 4.7096 Å, b = 4.7096 Å, c = 4.7096 Å
α = 90.00°, β = 90.00°, γ = 90.00°
With the nearest neighbours (Å) after each atom.
Fractional positions:
W1 0.5000 0.0000 0.0000  2 Br 2.35
W2 0.0000 0.0000 0.5000  2 Br 2.35
W3 0.0000 0.5000 0.0000  2 Br 2.35
I1 0.5000 0.5000 0.5000  12 W 3.33
Br1 0.0000 0.0000 0.0000  6 W 2.35

Computed properties:
E_form (uncorrected)   2565 meV per atom
Excess energy over the best structure of this formula in the dataset   0.000 eV/f.u.
Magnetic moment   0.00 Bohr magnetons per cell
Symmetry   No. 221

---

[2]
A plane-wave DFT calculation with GGA-PBE was carried out for YIBr2 after structural relaxation.

a = 7.3834 Å, b = 7.3834 Å, c = 8.0809 Å
α = 108.79°, β = 108.79°, γ = 112.43°
With the nearest neighbours (Å) after each atom.
Fractional positions:
Y1 0.4382 0.1177 0.9171  4 Br 2.81-2.83, 2 I 3.03-3.04
Y2 0.1177 0.4382 0.4171  4 Br 2.81-2.83, 2 I 3.03-3.04
Br1 0.6779 0.0429 0.2093  2 Y 2.81-2.83
Br2 0.2584 0.2579 0.6554  2 Y 2.82
Br3 0.0429 0.6779 0.7093  2 Y 2.81-2.83
Br4 0.2579 0.2584 0.1554  2 Y 2.82
I1 0.5676 0.8871 0.6319  2 Y 3.03-3.04
I2 0.8871 0.5676 0.1319  2 Y 3.03-3.04

Computed properties:
E_form (uncorrected)   -1687 meV per atom
Excess energy over the best structure of this formula in the dataset   0.000 eV/f.u.
Magnetic moment   0.00 Bohr magnetons per cell
Symmetry   No. 9

---

[3]
A plane-wave DFT calculation with GGA-PBE was carried out for YIBr after structural relaxation.

a = 6.9026 Å, b = 4.0462 Å, c = 16.9939 Å
α = 90.00°, β = 111.38°, γ = 90.00°
With the nearest neighbours (Å) after each atom.
Fractional positions:
Y1 0.5000 0.0000 0.5000  4 Br 2.89, 2 I 3.08
Y2 0.0000 0.0000 0.0000  2 Br 2.89, 4 I 3.10
Y3 0.0000 0.5000 0.5000  2 Br 2.89, 4 I 3.10
Y4 0.5000 0.5000 0.0000  4 Br 2.89, 2 I 3.08
I1 0.7184 0.5000 0.8707  3 Y 3.08-3.10
I2 0.7184 0.0000 0.3707  3 Y 3.08-3.10
I3 0.2816 0.5000 0.1293  3 Y 3.08-3.10
I4 0.2816 0.0000 0.6293  3 Y 3.08-3.10
Br1 0.7616 0.5000 0.6091  3 Y 2.89
Br2 0.2384 0.0000 0.8909  3 Y 2.89
Br3 0.7616 0.0000 0.1091  3 Y 2.89
Br4 0.2384 0.5000 0.3909  3 Y 2.89

Computed properties:
E_form (uncorrected)   -1419 meV per atom
Excess energy over the best structure of this formula in the dataset   0.102 eV/f.u.
Magnetic moment   0.00 Bohr magnetons per cell
Symmetry   No. 12

---

[4]
A plane-wave DFT calculation with GGA-PBE was carried out for YI3Br after structural relaxation.

a = 6.0145 Å, b = 6.0145 Å, c = 6.0145 Å
α = 90.00°, β = 90.00°, γ = 90.00°
With the nearest neighbours (Å) after each atom.
Fractional positions:
Br1 0.5000 0.5000 0.5000  12 I 4.25
I1 0.0000 0.5000 0.0000  2 Y 3.01
I2 0.0000 0.0000 0.5000  2 Y 3.01
I3 0.5000 0.0000 0.0000  2 Y 3.01
Y1 0.0000 0.0000 0.0000  6 I 3.01

Computed properties:
E_form (uncorrected)   -791 meV per atom
Excess energy over the best structure of this formula in the dataset   0.000 eV/f.u.
Magnetic moment   1.00 Bohr magnetons per cell
Symmetry   No. 221

---

[5]
A plane-wave DFT calculation with GGA-PBE was carried out for YI2Br after structural relaxation.

a = 5.5350 Å, b = 5.5350 Å, c = 5.5350 Å
α = 60.00°, β = 60.00°, γ = 60.00°
With the nearest neighbours (Å) after each atom.
Fractional positions:
Y1 0.5000 0.5000 0.5000  8 I 3.39
I1 0.2500 0.2500 0.2500  4 Y 3.39, 4 Br 3.39
I2 0.7500 0.7500 0.7500  4 Br 3.39, 4 Y 3.39
Br1 0.0000 0.0000 0.0000  8 I 3.39

Computed properties:
E_form (uncorrected)   -932 meV per atom
Excess energy over the best structure of this formula in the dataset   2.389 eV/f.u.
Magnetic moment   0.00 Bohr magnetons per cell
Symmetry   No. 225

---

[6]
A plane-wave DFT calculation with GGA-PBE was carried out for YIBr after structural relaxation.

a = 9.3260 Å, b = 4.0058 Å, c = 14.7714 Å
α = 90.00°, β = 125.43°, γ = 90.00°
With the nearest neighbours (Å) after each atom.
Fractional positions:
Br1 0.4522 0.0000 0.3648  3 Y 2.84-2.97
Br2 0.4522 0.5000 0.8648  3 Y 2.84-2.97
Br3 0.9403 0.5000 0.4071  2 Y 2.73-2.99
Br4 0.9403 0.0000 0.9071  2 Y 2.73-2.99
I1 0.4052 0.5000 0.0863  4 Y 3.17-3.36, 1 Br 3.54
I2 0.9337 0.0000 0.1912  3 Y 2.99-3.10
I3 0.4052 0.0000 0.5863  4 Y 3.17-3.36, 1 Br 3.54
I4 0.9337 0.5000 0.6912  3 Y 2.99-3.10
Y1 0.2148 0.5000 0.3624  3 Br 2.97-2.99, 2 I 3.10
Y2 0.1903 0.0000 0.1317  2 Br 2.73-2.84, 1 I 2.99
Y3 0.2148 0.0000 0.8624  3 Br 2.97-2.99, 2 I 3.10
Y4 0.1903 0.5000 0.6317  2 Br 2.73-2.84, 1 I 2.99

Computed properties:
E_form (uncorrected)   -1358 meV per atom
Excess energy over the best structure of this formula in the dataset   0.288 eV/f.u.
Magnetic moment   0.00 Bohr magnetons per cell
Symmetry   No. 8

---

[7]
A plane-wave DFT calculation with GGA-PBE was carried out for YIBr after structural relaxation.

a = 8.2112 Å, b = 3.9950 Å, c = 6.9195 Å
α = 90.00°, β = 106.51°, γ = 90.00°
With the nearest neighbours (Å) after each atom.
Fractional positions:
Y1 0.3972 0.0000 0.7841  3 Br 2.94, 3 I 3.10
Y2 0.3972 0.5000 0.2841  3 Br 2.94, 3 I 3.10
I1 0.1345 0.0000 0.0289  3 Y 3.10
I2 0.1345 0.5000 0.5289  3 Y 3.10
Br1 0.6281 0.5000 0.6953  3 Y 2.94
Br2 0.6281 0.0000 0.1953  3 Y 2.94

Computed properties:
E_form (uncorrected)   -1454 meV per atom
Excess energy over the best structure of this formula in the dataset   0.000 eV/f.u.
Magnetic moment   2.00 Bohr magnetons per cell
Symmetry   No. 8

---

[8]
A plane-wave DFT calculation with GGA-PBE was carried out for YIBr after structural relaxation.

a = 5.1743 Å, b = 5.1748 Å, c = 8.2668 Å
α = 89.99°, β = 69.60°, γ = 90.00°
With the nearest neighbours (Å) after each atom.
Fractional positions:
Y1 0.7500 0.7500 0.0000  4 Br 3.05, 4 I 3.24
Y2 0.2500 0.2500 0.0000  4 Br 3.05, 4 I 3.24
I1 0.1097 0.7499 0.2519  4 Y 3.24, 1 Br 3.56
I2 0.8903 0.2501 0.7481  4 Y 3.24, 1 Br 3.56
Br1 0.3658 0.7500 0.7921  4 Y 3.05
Br2 0.6342 0.2500 0.2079  4 Y 3.05

Computed properties:
E_form (uncorrected)   -1357 meV per atom
Excess energy over the best structure of this formula in the dataset   0.291 eV/f.u.
Magnetic moment   0.00 Bohr magnetons per cell
Symmetry   No. 11